Computed, not measured: a relaxed Cd2CuPt2 crystal at the PBE-GGA level of DFT.

## Properties
ΔE to the lowest computed polymorph: 0.000 eV/atom

a = 6.582 Å, b = 6.582 Å, c = 4.190 Å
α = 90.00°, β = 90.00°, γ = 90.00°
Positions (direct):
Cu 0.000 0.000 0.000
Cu 0.500 0.500 0.000
Pt 0.359 0.859 0.000
Pt 0.859 0.641 0.000
Pt 0.641 0.141 0.000
Pt 0.141 0.359 0.000
Cd 0.166 0.666 0.500
Cd 0.666 0.834 0.500
Cd 0.834 0.334 0.500
Cd 0.334 0.166 0.500

Computed, not measured: a relaxed Ac2Co2Ge3 crystal at the PBE-GGA level of DFT.

## Properties
ΔE to the lowest computed polymorph: 0.017 eV/atom

a = 3.986 Å, b = 5.995 Å, c = 7.462 Å
α = 119.36°, β = 90.00°, γ = 109.42°
Positions (direct):
Ac 0.863 0.726 0.234
Ac 0.137 0.274 0.766
Co 0.871 0.743 0.786
Co 0.129 0.257 0.214
Ge 0.500 0.000 0.000
Ge 0.650 0.299 0.436
Ge 0.350 0.701 0.564

Computed, not measured: a relaxed SrSm4Ga4 crystal at the PBE-GGA level of DFT.

## Properties
Raw total energy: -0.2913 Ry per atom

a = 6.068 Å, b = 9.563 Å, c = 9.563 Å
α = 90.00°, β = 90.00°, γ = 90.00°
Positions (direct):
Sr 0.000 0.000 0.000
Sr 0.500 0.500 0.500
Sm 0.378 0.336 0.903
Sm 0.878 0.597 0.836
Sm 0.378 0.664 0.097
Sm 0.122 0.164 0.597
Sm 0.622 0.903 0.664
Sm 0.122 0.836 0.403
Sm 0.878 0.403 0.164
Sm 0.622 0.097 0.336
Ga 0.622 0.784 0.350
Ga 0.622 0.216 0.650
Ga 0.122 0.850 0.716
Ga 0.878 0.284 0.850
Ga 0.878 0.716 0.150
Ga 0.378 0.350 0.216
Ga 0.378 0.650 0.784
Ga 0.122 0.150 0.284

Computed, not measured: a relaxed Mg4RhPb crystal at the PBE-GGA level of DFT.

## Properties
ΔE to the lowest computed polymorph: 0.000 eV/atom

a = 5.670 Å, b = 8.247 Å, c = 7.436 Å
α = 114.52°, β = 100.26°, γ = 111.48°
Positions (direct):
Mg 0.061 0.193 0.843
Mg 0.777 0.725 0.663
Mg 0.282 0.650 0.843
Mg 0.386 0.938 0.663
Mg 0.614 0.062 0.337
Mg 0.718 0.350 0.157
Mg 0.223 0.275 0.337
Mg 0.939 0.807 0.157
Rh 0.247 0.997 0.995
Rh 0.753 0.003 0.005
Pb 0.375 0.625 0.251
Pb 0.625 0.375 0.749

Computed, not measured: a relaxed CdSeCl2 crystal at the PBE-GGA level of DFT.

## Properties
Formation energy without anion corrections: 2.6 kcal/mol of atoms
ΔE to the lowest computed polymorph: 0.652 eV/atom

a = 4.238 Å, b = 4.550 Å, c = 4.550 Å
α = 90.00°, β = 90.00°, γ = 90.00°
Positions (direct):
Cl 0.000 0.000 0.000
Cl 0.000 0.500 0.500
Se 0.500 0.500 0.000
Cd 0.500 0.000 0.500

Computed, not measured: a relaxed HfInAgBr6 crystal at the PBE-GGA level of DFT.

## Properties
Formation energy without anion corrections: -23.0 kcal/mol of atoms

a = 7.271 Å, b = 7.271 Å, c = 13.951 Å
α = 90.00°, β = 90.00°, γ = 120.00°
Positions (direct):
Hf 0.667 0.333 0.250
Hf 0.333 0.667 0.750
In 0.000 0.000 0.000
In 0.000 0.000 0.500
Ag 0.333 0.667 0.250
Ag 0.667 0.333 0.750
Br 0.645 0.616 0.140
Br 0.971 0.355 0.140
Br 0.355 0.971 0.640
Br 0.029 0.645 0.860
Br 0.384 0.355 0.360
Br 0.971 0.616 0.360
Br 0.616 0.971 0.860
Br 0.645 0.029 0.360
Br 0.029 0.384 0.640
Br 0.384 0.029 0.140
Br 0.616 0.645 0.640
Br 0.355 0.384 0.860

Computed, not measured: a relaxed LaTh2Pt2 crystal at the PBE-GGA level of DFT.

## Properties
ΔE to the lowest computed polymorph: 0.000 eV/atom

a = 3.853 Å, b = 8.239 Å, c = 8.239 Å
α = 90.00°, β = 90.00°, γ = 90.00°
Positions (direct):
La 0.000 0.000 0.000
La 0.000 0.500 0.500
Th 0.500 0.166 0.666
Th 0.500 0.666 0.834
Th 0.500 0.834 0.334
Th 0.500 0.334 0.166
Pt 0.000 0.373 0.873
Pt 0.000 0.873 0.627
Pt 0.000 0.627 0.127
Pt 0.000 0.127 0.373

Computed, not measured: a relaxed Tb3Tm4Pt4 crystal at the PBE-GGA level of DFT.

## Properties
Raw total energy: -0.4424 Ry per atom

a = 4.450 Å, b = 7.879 Å, c = 8.897 Å
α = 116.28°, β = 104.48°, γ = 90.00°
Positions (direct):
Tb 0.102 0.102 0.205
Tb 0.898 0.898 0.795
Tb 0.000 0.500 0.000
Tm 0.329 0.123 0.659
Tm 0.671 0.464 0.341
Tm 0.671 0.877 0.341
Tm 0.329 0.536 0.659
Pt 0.213 0.713 0.426
Pt 0.787 0.287 0.574
Pt 0.500 0.816 0.000
Pt 0.500 0.184 0.000

Computed, not measured: a relaxed MgSiO3 crystal at the PBE-GGA level of DFT.

## Properties
Formation energy without anion corrections: -59.0 kcal/mol of atoms

a = 4.798 Å, b = 4.798 Å, c = 6.735 Å
α = 90.00°, β = 90.00°, γ = 147.17°
Positions (direct):
Mg 0.260 0.740 0.250
Mg 0.740 0.260 0.750
Si 0.000 0.000 0.500
Si 0.000 0.000 0.000
O 0.073 0.927 0.750
O 0.927 0.073 0.250
O 0.374 0.626 0.945
O 0.626 0.374 0.445
O 0.374 0.626 0.555
O 0.626 0.374 0.055

Computed, not measured: a relaxed LaSmTl crystal at the PBE-GGA level of DFT.

## Properties
ΔE to the lowest computed polymorph: 0.000 eV/atom

a = 5.590 Å, b = 5.591 Å, c = 6.938 Å
α = 90.00°, β = 90.00°, γ = 120.00°
Each line ends with the local moment (μB).
Positions (direct):
La 0.000 0.000 0.000  0.14
La 0.000 0.000 0.500  0.14
Sm 0.667 0.333 0.250  0.09
Sm 0.333 0.667 0.750  0.09
Tl 0.333 0.667 0.250  0.00
Tl 0.667 0.333 0.750  0.00

Computed, not measured: a relaxed ReSb2PtC crystal at the PBE-GGA level of DFT.

## Properties
Formation energy without anion corrections: 28.8 kcal/mol of atoms

a = 4.807 Å, b = 3.937 Å, c = 4.807 Å
α = 90.00°, β = 90.00°, γ = 90.00°
Each line ends with the local moment (μB).
Positions (direct):
Re 0.500 0.500 0.500  1.55
C 0.000 0.000 0.000  0.04
Pt 0.000 0.500 0.000  0.17
Sb 0.000 0.000 0.500  -0.01
Sb 0.500 0.000 0.000  -0.01

Computed, not measured: a relaxed Dy3Y4Tm2 crystal at the PBE-GGA level of DFT.

## Properties
Raw total energy: -0.3894 Ry per atom

a = 6.099 Å, b = 11.221 Å, c = 11.221 Å
α = 61.78°, β = 62.11°, γ = 62.11°
Positions (direct):
Dy 0.744 0.070 0.265
Dy 0.756 0.735 0.930
Dy 0.256 0.930 0.735
Dy 0.244 0.265 0.070
Dy 0.250 0.594 0.406
Dy 0.750 0.406 0.594
Y 0.420 0.904 0.188
Y 0.080 0.812 0.096
Y 0.580 0.096 0.812
Y 0.920 0.188 0.904
Y 0.074 0.149 0.429
Y 0.426 0.571 0.851
Y 0.926 0.851 0.571
Y 0.574 0.429 0.149
Tm 0.417 0.239 0.523
Tm 0.083 0.477 0.761
Tm 0.583 0.761 0.477
Tm 0.917 0.523 0.239